Crystalline Na3HfMn2O6 at its relaxed geometry, computed with PBE+U.

- VASP energy (eV/cell) = -160.35
- total magnetization (μB/f.u.) = 3.0

Cell: 5.3304 9.1997 5.7316 Å, 90.00 107.62 90.00°
Last column: nearest neighbours and their distance in Å.
Space group C2/m (No. 12)
Asymmetric unit:
Na1 0.0000 0.0000 0.0000 x2  6 O 2.38-2.40
Na2 0.0000 0.3268 0.0000 x4  6 O 2.36-2.43
Hf1 0.0000 0.5000 0.5000 x2  6 O 2.10
Mn1 0.0000 0.1625 0.5000 x4  6 O 2.07-2.13
O1 0.2359 0.0000 0.7081 x4  2 Mn 2.08, 1 Hf 2.10
O2 0.2374 0.3331 0.7024 x8  2 Mn 2.07-2.13, 1 Hf 2.10